No. 1
Compound: LiMnHgPb
Source: Alexandria via LeMat-Bulk
Functional: PBE-GGA
Structure: optimized geometry

Uncorrected energy in eV/atom: -3.738
Space-group type: No. 216
Theoretical density in g/cm3: 9.81
Size of the total moment in μB per formula unit: 3.82
V in Å³ per cell: 318.0
Calculated formation energy in eV/atom: 0.035
DOS at the Fermi energy in states/eV/atom: 0.591

a b c (Å): 6.826 6.826 6.826
angles (deg): 90.00 90.00 90.00
Element x y z (fractional)
1 Li 0.000 0.000 0.000
2 Li 0.000 0.500 0.500
3 Li 0.500 0.000 0.500
4 Li 0.500 0.500 0.000
5 Mn 0.000 0.000 0.500
6 Mn 0.000 0.500 0.000
7 Mn 0.500 0.000 0.000
8 Mn 0.500 0.500 0.500
9 Hg 0.250 0.250 0.750
10 Hg 0.250 0.750 0.250
11 Hg 0.750 0.250 0.250
12 Hg 0.750 0.750 0.750
13 Pb 0.250 0.250 0.250
14 Pb 0.250 0.750 0.750
15 Pb 0.750 0.250 0.750
16 Pb 0.750 0.750 0.250

No. 2
Compound: LiMnHgPt
Source: Alexandria via LeMat-Bulk
Functional: PBE-GGA
Structure: optimized geometry

Uncorrected energy in eV/atom: -4.588
Space-group type: No. 216
Theoretical density in g/cm3: 11.95
Size of the total moment in μB per formula unit: 4.07
V in Å³ per cell: 254.4
Calculated formation energy in eV/atom: -0.232
DOS at the Fermi energy in states/eV/atom: 0.531

a b c (Å): 6.336 6.336 6.336
angles (deg): 90.00 90.00 90.00
Element x y z (fractional)
1 Li 0.000 0.000 0.000
2 Li 0.000 0.500 0.500
3 Li 0.500 0.000 0.500
4 Li 0.500 0.500 0.000
5 Mn 0.000 0.000 0.500
6 Mn 0.000 0.500 0.000
7 Mn 0.500 0.000 0.000
8 Mn 0.500 0.500 0.500
9 Hg 0.250 0.250 0.750
10 Hg 0.250 0.750 0.250
11 Hg 0.750 0.250 0.250
12 Hg 0.750 0.750 0.750
13 Pt 0.250 0.250 0.250
14 Pt 0.250 0.750 0.750
15 Pt 0.750 0.250 0.750
16 Pt 0.750 0.750 0.250